(1)
VASP calculation (PBE-GGA) on a geometry-optimized Sm7HoTl2 structure.

The value obtained for the energy of formation from the pure elements is 0.35 eV per atom.

It has space group Cmmm (No. 65), with a = 9.316 Å, b = 15.991 Å, c = 5.339 Å, α = 90.00°, β = 90.00° and γ = 90.00°. The distinct sites, in fractional coordinates, are Sm at (0.000, 0.000, 0.000), Sm at (0.000, 0.277, 0.500), Sm at (0.182, 0.381, 0.000), Ho at (0.000, 0.500, 0.500) and Tl at (0.000, 0.193, 0.000).

(2)
VASP calculation (PBE-GGA) on a geometry-optimized Pm6Dy2HoTm3 structure.

The value obtained for the energy of formation from the pure elements is 0.01 eV per atom.

It has space group C2/m (No. 12), with a = 6.218 Å, b = 10.768 Å, c = 11.758 Å, α = 90.00°, β = 100.11° and γ = 90.00°. The distinct sites, in fractional coordinates, are Pm at (0.249, 0.000, 0.248), Pm at (0.249, 0.333, 0.249), Dy at (0.000, 0.333, 0.500), Ho at (0.000, 0.000, 0.500), Tm at (0.000, 0.167, 0.000) and Tm at (0.000, 0.500, 0.000).

(3)
VASP calculation (PBE-GGA) on a geometry-optimized La2MgMn structure.

The value obtained for the energy of formation from the pure elements is 0.28 eV per atom.

It has space group C2/m (No. 12), with a = 7.089 Å, b = 3.394 Å, c = 9.686 Å, α = 90.00°, β = 96.73° and γ = 90.00°. The distinct sites, in fractional coordinates, are La at (0.250, 0.000, 0.207), Mg at (0.000, 0.000, 0.500) and Mn at (0.000, 0.500, 0.000).

(4)
VASP calculation (PBE-GGA) on a geometry-optimized Tb2ThC3 structure.

The value obtained for the energy of formation from the pure elements is -0.06 eV per atom.

It has space group Imma (No. 74), with a = 5.748 Å, b = 10.437 Å, c = 7.614 Å, α = 90.00°, β = 90.00° and γ = 90.00°. The distinct sites, in fractional coordinates, are Tb at (0.000, 0.074, 0.165), Th at (0.000, 0.250, 0.526), C at (0.121, 0.000, 0.500) and C at (0.250, 0.250, 0.250).

(5)
VASP calculation (PBE-GGA) on a geometry-optimized MgAl3Ru structure.

The value obtained for the energy of formation from the pure elements is -0.01 eV per atom. The value obtained for the energy relative to the lowest polymorph listed for this composition is 0.00 eV/f.u.

It has space group Pm-3m (No. 221), with a = 4.732 Å, b = 4.732 Å, c = 4.732 Å, α = 90.00°, β = 90.00° and γ = 90.00°. The distinct sites, in fractional coordinates, are Mg at (0.000, 0.000, 0.000), Al at (0.000, 0.500, 0.500) and Ru at (0.500, 0.500, 0.500).

(6)
VASP calculation (PBE-GGA) on a geometry-optimized Ca5ZnCd4 structure.

The value obtained for the energy of formation from the pure elements is -0.33 eV per atom.

It has space group P4/mmm (No. 123), with a = 3.769 Å, b = 3.769 Å, c = 19.405 Å, α = 90.00°, β = 90.00° and γ = 90.00°. The distinct sites, in fractional coordinates, are Ca at (0.000, 0.000, 0.000), Ca at (0.000, 0.000, 0.203), Ca at (0.000, 0.000, 0.407), Zn at (0.500, 0.500, 0.500), Cd at (0.500, 0.500, 0.102) and Cd at (0.500, 0.500, 0.305).

(7)
VASP calculation (PBE-GGA) on a geometry-optimized Mn9Nb2Mo structure.

The value obtained for the energy of formation from the pure elements is 0.00 eV per atom.

It has space group R-3m (No. 166, hexagonal axes), with a = 4.7380 Å, b = 4.7380 Å, c = 23.4251 Å, α = 90.00°, β = 90.00° and γ = 120.00°. The distinct sites, in fractional coordinates, are Mn at (0.0000, 0.0000, 0.0000), Mn at (0.0000, 0.0000, 0.1633), Mn at (0.0103, 0.5052, 0.4171), Nb at (0.0000, 0.0000, 0.3598) and Mo at (0.0000, 0.0000, 0.5000).

(8)
VASP calculation (PBE-GGA) on a geometry-optimized Ce2GaGeIr6 structure.

The value obtained for the energy of formation from the pure elements is -0.51 eV per atom.

It has space group P-1 (No. 2), with a = 5.502 Å, b = 6.366 Å, c = 6.395 Å, α = 72.49°, β = 64.62° and γ = 64.51°. The distinct sites, in fractional coordinates, are Ce at (0.013, 0.240, 0.235), Ga at (0.500, 0.500, 0.000), Ge at (0.500, 0.000, 0.500), Ir at (0.001, 0.195, 0.802), Ir at (0.303, 0.451, 0.449) and Ir at (0.498, 0.805, 0.198).

(9)
VASP calculation (PBE-GGA) on a geometry-optimized YRe2Te structure.

Its formation energy (no corrections) is 50 meV per atom.

It has space group R3m (No. 160, hexagonal axes), with a = 4.3489 Å, b = 4.3489 Å, c = 16.2091 Å, α = 90.00°, β = 90.00° and γ = 120.00°. The distinct sites, in fractional coordinates, are Y at (0.0000, 0.0000, 0.0000), Re at (0.0000, 0.0000, 0.2175), Re at (0.0000, 0.0000, 0.5319) and Te at (0.0000, 0.0000, 0.7855).

(10)
VASP calculation (PBE-GGA) on a geometry-optimized KMnSi structure.

The value obtained for the energy relative to the lowest polymorph listed for this composition is 0.05 eV/f.u. Its formation energy (no corrections) is 296 meV per atom.

It has space group Imm2 (No. 44), with a = 2.781 Å, b = 3.962 Å, c = 12.328 Å, α = 90.00°, β = 90.00° and γ = 90.00°. The distinct sites, in fractional coordinates, are K at (0.000, 0.000, 0.000), Mn at (0.000, 0.000, 0.259) and Si at (0.000, 0.000, 0.735).

(11)
VASP calculation (PBE-GGA) on a geometry-optimized NbHgIN2 structure.

The value obtained for the energy relative to the lowest polymorph listed for this composition is 0.00 eV/f.u. Its formation energy (no corrections) is 478 meV per atom.

It has space group P4/mmm (No. 123), with a = 4.135 Å, b = 4.135 Å, c = 5.994 Å, α = 90.00°, β = 90.00° and γ = 90.00°. The distinct sites, in fractional coordinates, are Nb at (0.000, 0.000, 0.000), Hg at (0.500, 0.500, 0.500), I at (0.000, 0.000, 0.500) and N at (0.000, 0.500, 0.000).

(12)
VASP calculation (PBE-GGA) on a geometry-optimized TiNiPbBr2 structure.

Its formation energy (no corrections) is 67 meV per atom.

It has space group P4/mmm (No. 123), with a = 5.032 Å, b = 5.032 Å, c = 4.843 Å, α = 90.00°, β = 90.00° and γ = 90.00°. The distinct sites, in fractional coordinates, are Ti at (0.000, 0.000, 0.000), Ni at (0.000, 0.000, 0.500), Pb at (0.500, 0.500, 0.500) and Br at (0.000, 0.500, 0.000).